[1]
Below is a geometry-optimized HoZn2 structure, with properties calculated at the PBE-GGA level.

The space group is C2/m (No. 12) and the conventional cell measures 8.765, 7.071 and 4.459 Å, with angles of 90.00, 120.49 and 90.00 degrees. Symmetry generates all atoms from Ho at (0.218, 0.000, 0.467) and Zn at (0.084, 0.295, 0.835).

The value obtained for the total moment is 0.00 μB per formula unit. The value obtained for the density of states at the Fermi level is 0.62 states/eV per atom. The value obtained for the formation energy from the elements is -1.16 eV/f.u.

***

[2]
Below is a geometry-optimized Ho4Zn3 structure, with properties calculated at the PBE-GGA level.

The space group is R-3m (No. 166, hexagonal axes) and the conventional cell measures 4.9288, 4.9288 and 25.7898 Å, with angles of 90.00, 90.00 and 120.00 degrees. Symmetry generates all atoms from Ho at (0.0000, 0.0000, 0.1244), Ho at (0.0000, 0.0000, 0.2922), Zn at (0.0000, 0.0000, 0.4059) and Zn at (0.0000, 0.0000, 0.5000).

Its excess energy over the best structure of this formula in the dataset is 109 meV per atom. The value obtained for the total moment is 0.00 μB per formula unit. The value obtained for the density of states at the Fermi level is 1.35 states/eV per atom. The value obtained for the formation energy from the elements is -0.62 eV/f.u.

***

[3]
Below is a geometry-optimized HoZn11 structure, with properties calculated at the PBE-GGA level.

The space group is I4_1/amd (No. 141, origin choice 2) and the conventional cell measures 10.543, 10.543 and 6.828 Å, with angles of 90.00, 90.00 and 90.00 degrees. Symmetry generates all atoms from Ho at (0.000, 0.250, 0.375), Zn at (0.000, 0.000, 0.000), Zn at (0.000, 0.250, 0.875) and Zn at (0.121, 0.045, 0.675).

The value obtained for the total moment is 0.00 μB per formula unit. The value obtained for the density of states at the Fermi level is 0.29 states/eV per atom. The value obtained for the formation energy from the elements is -2.02 eV/f.u.